(1)
12
Lattice="5.318 -0.004 -0.008 -2.661 4.604 -0.008 -0.893 -1.546 5.739" Properties=species:S:1:pos:R:3 comment="Na3NbMo2O6, optimized geometry, DFT PBE with a Hubbard U" sg=C2/m e_tot_ev_per_cell=-78.06 density_kg_m3=5323 pbc="T T T"
O 1.770 -0.052 1.203
O -0.930 1.507 1.203
O -0.016 -0.028 4.323
O 1.780 3.082 1.399
O -0.006 3.107 4.519
O 2.694 1.547 4.519
Na 0.882 1.527 2.861
Na 3.502 0.014 2.861
Na -1.738 3.040 2.861
Mo 0.162 2.974 -0.008
Mo 2.495 1.626 -0.008
Nb 0.000 0.000 0.000



(2)
12
Lattice="-0.538 -0.760 4.776 -3.572 -3.215 -0.735 4.221 -4.761 -0.320" Properties=species:S:1:pos:R:3 comment="NaNb2MoO8, optimized geometry, DFT PBE with a Hubbard U" sg=P-1 e_tot_ev_per_cell=-94.29 density_kg_m3=4772 pbc="T T T"
O -0.670 -5.068 2.604
O 0.357 -6.398 0.180
O -2.860 -2.803 2.812
O 0.781 -3.668 1.117
O -0.246 -2.338 3.541
O 2.972 -5.934 0.909
O 2.182 -5.044 3.397
O -2.071 -3.692 0.324
Na 2.110 -2.381 -0.160
Nb -1.054 -3.286 2.097
Nb 1.165 -5.451 1.624
Mo 0.000 0.000 0.000



(3)
11
Lattice="5.221 0.003 0.079 -2.578 4.540 0.079 -0.903 -1.552 5.771" Properties=species:S:1:pos:R:3 comment="Na2NbMo2O6, optimized geometry, DFT PBE with a Hubbard U" sg=C2/m e_tot_ev_per_cell=-75.63 dos_at_fermi_per_ev_cell=2.838 density_kg_m3=5131 pbc="T T T"
O 0.432 3.862 1.886
O -1.403 0.706 4.042
O 1.308 -0.871 4.042
O 1.335 2.295 4.397
O 0.405 0.696 1.531
O 3.144 2.285 1.886
Na 3.854 0.799 0.079
Na -1.210 3.745 0.079
Mo -0.214 2.126 2.964
Mo 1.954 0.865 2.964
Nb -0.451 -0.776 2.885